LiDyZn, optimized geometry, DFT PBE; ΔE to the lowest computed polymorph = 0.07 eV per formula unit; calculated volume = 63 Å³/f.u.
1.0
3.6461 0.0000 0.0000
0.0000 3.6461 0.0000
-1.8230 -1.8230 4.7286
Li Zn Dy
1 1 1
Direct
0.6353 0.6353 0.2706 Li
0.2715 0.2715 0.5431 Zn
0.9432 0.9432 0.8863 Dy

LiDy4Zn, optimized geometry, DFT PBE; DFT total energy = -20.06 eV per cell; calculated volume = 178 Å³/f.u.
1.0
-1.9025 0.9617 -4.4573
1.3615 -4.4898 -1.5499
-6.4102 -2.6874 2.1569
Dy Li Zn
4 1 1
Direct
0.5013 0.9971 0.2630 Dy
0.0014 0.4974 0.7332 Dy
0.0013 0.4971 0.2631 Dy
0.5014 0.9974 0.7332 Dy
0.5013 0.4974 0.9982 Li
0.0013 0.9973 0.4981 Zn

LiDy6Zn5, optimized geometry, DFT PBE; DFT total energy = -39.23 eV per cell; calculated volume = 275 Å³/f.u.
1.0
-4.3733 -0.1034 2.5183
-3.4963 -1.3875 -6.1286
-1.3248 -7.4861 2.4506
Dy Zn Li
6 5 1
Direct
0.1695 0.2518 0.6611 Dy
0.5000 0.7428 0.0000 Dy
0.8305 0.2518 0.3389 Dy
0.5000 0.2572 0.0000 Dy
0.1695 0.7482 0.6611 Dy
0.8305 0.7482 0.3389 Dy
0.0000 0.5000 0.0000 Zn
0.3388 0.0000 0.3224 Zn
0.6655 0.5000 0.6691 Zn
0.6612 0.0000 0.6776 Zn
0.3345 0.5000 0.3309 Zn
0.0000 0.0000 0.0000 Li

Li6DyZn6, optimized geometry, DFT PBE; DFT total energy = -26.19 eV per cell; calculated volume = 215 Å³/f.u.
1.0
4.7682 0.0000 1.9059
2.3636 6.4723 1.0042
-0.0179 -0.0997 6.9625
Li Dy Zn
6 1 6
Direct
0.0000 0.3456 0.6544 Li
0.0000 0.6544 0.3456 Li
0.6435 0.3565 0.3565 Li
0.7081 0.7919 0.7919 Li
0.2919 0.2081 0.2081 Li
0.3565 0.6435 0.6435 Li
0.0000 0.0000 0.0000 Dy
0.5000 0.2101 0.7899 Zn
0.5000 0.0000 0.5000 Zn
0.0000 0.5000 0.0000 Zn
0.0000 0.0000 0.5000 Zn
0.5000 0.5000 0.0000 Zn
0.5000 0.7899 0.2101 Zn

LiDyZn4, optimized geometry, DFT PBE; ΔE to the lowest computed polymorph = 0.00 eV per formula unit; calculated volume = 107 Å³/f.u.
1.0
4.3849 0.0000 0.0000
-2.1924 3.7974 0.0000
0.0000 0.0000 6.4316
Zn Dy Li
4 1 1
Direct
0.3333 0.6667 0.7849 Zn
0.6667 0.3333 0.7849 Zn
0.6667 0.3333 0.2151 Zn
0.3333 0.6667 0.2151 Zn
0.0000 0.0000 0.5000 Dy
0.0000 0.0000 0.0000 Li

LiDyZn2, optimized geometry, DFT PBE; ΔE to the lowest computed polymorph = 0.18 eV per formula unit; calculated volume = 76 Å³/f.u.
1.0
-0.7615 0.3310 3.2122
2.6548 -1.8146 0.8163
3.8242 5.7367 0.3154
Dy Zn Li
1 2 1
Direct
0.5000 0.5000 0.5000 Dy
0.0000 0.0000 0.7922 Zn
0.0000 0.0000 0.2078 Zn
0.5000 0.5000 0.0000 Li

Li2DyZn10, optimized geometry, DFT PBE; DFT total energy = -23.61 eV per cell; calculated volume = 202 Å³/f.u.
1.0
0.4263 -3.5875 3.3386
-4.8931 -4.7602 -0.8664
4.0568 -5.0237 -2.2923
Zn Dy Li
10 1 2
Direct
0.0000 0.5000 0.0000 Zn
0.5000 0.5000 0.0000 Zn
0.0070 0.3457 0.6404 Zn
0.7175 0.7873 0.7778 Zn
0.4953 0.7873 0.2222 Zn
0.6474 0.3457 0.3596 Zn
0.5047 0.2127 0.7778 Zn
0.9930 0.6543 0.3596 Zn
0.2825 0.2127 0.2222 Zn
0.3526 0.6543 0.6404 Zn
0.0000 0.0000 0.0000 Dy
0.0000 0.0000 0.5000 Li
0.5000 0.0000 0.5000 Li

Li4DyZn8, optimized geometry, DFT PBE; DFT total energy = -25.06 eV per cell; calculated volume = 201 Å³/f.u.
1.0
4.7183 0.0000 0.0000
2.3591 6.5272 0.0000
2.3591 0.0000 6.5272
Li Zn Dy
4 8 1
Direct
0.5000 0.5000 0.0000 Li
0.0000 0.5000 0.0000 Li
0.5000 0.0000 0.5000 Li
0.0000 0.0000 0.5000 Li
0.0000 0.3569 0.6431 Zn
0.6431 0.3569 0.3569 Zn
0.0000 0.6431 0.3569 Zn
0.5000 0.2172 0.7828 Zn
0.7172 0.7828 0.7828 Zn
0.2828 0.2172 0.2172 Zn
0.5000 0.7828 0.2172 Zn
0.3569 0.6431 0.6431 Zn
0.0000 0.0000 0.0000 Dy

LiDyZn4, optimized geometry, DFT PBE; ΔE to the lowest computed polymorph = 0.23 eV per formula unit; calculated volume = 106 Å³/f.u.
1.0
-2.8389 -3.5102 2.8058
2.1878 -4.6138 1.4762
1.1600 -0.8759 5.1128
Dy Zn Li
1 4 1
Direct
0.0000 0.0000 0.0000 Dy
0.1260 0.6247 0.6247 Zn
0.6247 0.1260 0.6247 Zn
0.6247 0.6247 0.1260 Zn
0.6247 0.6247 0.6247 Zn
0.2500 0.2500 0.2500 Li

Li2Dy3Zn7, optimized geometry, DFT PBE; DFT total energy = -29.91 eV per cell; calculated volume = 220 Å³/f.u.
1.0
-3.0197 0.4905 -4.4600
0.5282 -3.5688 -4.0294
-6.9556 -5.9977 0.7706
Li Zn Dy
2 7 3
Direct
0.6671 0.6671 0.9988 Li
0.3329 0.3329 0.0012 Li
0.0792 0.5826 0.7556 Zn
0.5000 0.5000 0.5000 Zn
0.4174 0.4174 0.2444 Zn
0.9208 0.4174 0.2444 Zn
0.5826 0.5826 0.7556 Zn
0.5826 0.0792 0.7556 Zn
0.4174 0.9208 0.2444 Zn
0.0000 0.0000 0.0000 Dy
0.1366 0.1366 0.5901 Dy
0.8634 0.8634 0.4099 Dy

LiDy5Zn4, optimized geometry, DFT PBE; DFT total energy = -32.57 eV per cell; calculated volume = 232 Å³/f.u.
1.0
3.5961 0.0000 0.0000
0.0000 3.5961 0.0000
0.0000 0.0000 17.9328
Dy Li Zn
5 1 4
Direct
0.5000 0.5000 0.5000 Dy
0.5000 0.5000 0.6963 Dy
0.5000 0.5000 0.8898 Dy
0.5000 0.5000 0.3037 Dy
0.5000 0.5000 0.1102 Dy
0.0000 0.0000 0.0000 Li
0.0000 0.0000 0.5989 Zn
0.0000 0.0000 0.7964 Zn
0.0000 0.0000 0.4011 Zn
0.0000 0.0000 0.2036 Zn

LiDy2Zn3, optimized geometry, DFT PBE; ΔE to the lowest computed polymorph = 0.13 eV per formula unit; calculated volume = 123 Å³/f.u.
1.0
-0.2845 -2.0383 2.7784
-2.1510 -2.0730 -1.7411
8.0178 -5.5745 -3.2686
Dy Zn Li
2 3 1
Direct
0.5000 0.5000 0.8244 Dy
0.5000 0.5000 0.1756 Dy
0.0000 0.0000 0.0000 Zn
0.0000 0.0000 0.3607 Zn
0.0000 0.0000 0.6393 Zn
0.5000 0.5000 0.5000 Li

What is the calculated volume in the sixth record?
76 Å³/f.u.